(1)
Here is a relaxed YCd2Se crystal from the Alexandria database. Energies are from PBE.

The density of states at the Fermi level is 3.65 states/eV per cell. The calculated total energy comes out at -3.558 eV per atom. The calculation puts the magnetic moment at 0.0 Bohr magnetons per cell. The calculation puts the formation energy without anion corrections at -614 meV/atom. The calculation puts the volume at 208 Å³/cell.

Cell: 5.715 5.777 6.308 Å, 90.00 90.00 90.00°
Element x y z (fractional)
Y  0.000  0.000  0.000
Y  0.500  0.500  0.000
Cd  0.000  0.249  0.500
Cd  0.000  0.751  0.500
Cd  0.500  0.251  0.500
Cd  0.500  0.749  0.500
Se  0.000  0.500  0.000
Se  0.500  0.000  0.000

=====

(2)
Here is a relaxed Sr2LiSmTe4 crystal from the Alexandria database. Energies are from PBE.

The calculated total energy comes out at -4.305 eV per atom. The calculation puts the magnetic moment at 0.0 Bohr magnetons per cell. The calculation puts the formation energy without anion corrections at -1484 meV/atom. The calculation puts the volume at 272 Å³/cell.

Cell: 7.908 4.599 7.915 Å, 90.00 108.99 90.00°
Element x y z (fractional)
Sr  0.000  0.000  0.000
Sr  0.500  0.500  0.000
Li  0.000  0.500  0.500
Sm  0.500  0.000  0.500
Te  0.245  0.000  0.730
Te  0.254  0.500  0.270
Te  0.746  0.500  0.730
Te  0.755  0.000  0.270

=====

(3)
Here is a relaxed Fe2NiAu crystal from the Alexandria database. Energies are from PBE.

The density of states at the Fermi level is 2.51 states/eV per cell. The calculated total energy comes out at -6.420 eV per atom. The calculation puts the magnetic moment at 6.4 Bohr magnetons per cell. Its formation energy is 0.076 eV/atom. The calculation puts the volume at 53 Å³/cell. Its distance to the lowest polymorph of the same formula is 0.0151 eV/atom.

Cell: 2.688 3.725 5.342 Å, 90.00 90.00 90.00°
Element x y z (fractional)
Fe  0.000  0.000  0.222
Fe  0.000  0.000  0.778
Ni  0.500  0.500  0.000
Au  0.500  0.500  0.500

=====

(4)
Here is a relaxed Li2CaMnH6 crystal from the Alexandria database. Energies are from PBE.

The density of states at the Fermi level is 4.46 states/eV per cell. The calculated total energy comes out at -3.789 eV per atom. The calculation puts the magnetic moment at 2.0 Bohr magnetons per cell. The calculation puts the volume at 168 Å³/cell.

Cell: 4.839 5.191 8.184 Å, 90.00 124.96 90.00°
Element x y z (fractional)
Li  0.218  0.005  0.219
Li  0.218  0.495  0.719
Li  0.782  0.505  0.281
Li  0.782  0.995  0.781
Ca  0.000  0.000  0.500
Ca  0.000  0.500  0.000
Mn  0.500  0.000  0.000
Mn  0.500  0.500  0.500
H  0.191  0.139  0.989
H  0.191  0.361  0.489
H  0.194  0.703  0.345
H  0.194  0.797  0.845
H  0.466  0.179  0.820
H  0.466  0.321  0.320
H  0.534  0.679  0.680
H  0.534  0.821  0.180
H  0.806  0.203  0.155
H  0.806  0.297  0.655
H  0.809  0.639  0.511
H  0.809  0.861  0.011

=====

(5)
Here is a relaxed AgPd2Rh crystal from the Alexandria database. Energies are from PBE.

The density of states at the Fermi level is 28.30 states/eV per cell. The calculated total energy comes out at -4.926 eV per atom. The calculation puts the magnetic moment at 0.0 Bohr magnetons per cell. Its formation energy is 0.221 eV/atom. The calculation puts the volume at 252 Å³/cell. Its distance to the lowest polymorph of the same formula is 0.1627 eV/atom.

Cell: 6.318 6.318 6.318 Å, 90.00 90.00 90.00°
Element x y z (fractional)
Ag  0.000  0.000  0.000
Ag  0.000  0.500  0.500
Ag  0.500  0.000  0.500
Ag  0.500  0.500  0.000
Pd  0.250  0.250  0.250
Pd  0.250  0.250  0.750
Pd  0.250  0.750  0.250
Pd  0.250  0.750  0.750
Pd  0.750  0.250  0.250
Pd  0.750  0.250  0.750
Pd  0.750  0.750  0.250
Pd  0.750  0.750  0.750
Rh  0.000  0.000  0.500
Rh  0.000  0.500  0.000
Rh  0.500  0.000  0.000
Rh  0.500  0.500  0.500

=====

(6)
Here is a relaxed PmZnGa2Ni4 crystal from the Alexandria database. Energies are from PBE.

The density of states at the Fermi level is 4.38 states/eV per cell. The calculated total energy comes out at -4.788 eV per atom. The calculation puts the magnetic moment at 0.0 Bohr magnetons per cell. Its formation energy is -0.388 eV/atom. The calculation puts the volume at 120 Å³/cell.

Cell: 8.702 8.702 8.702 Å, 27.01 27.01 27.01°
Element x y z (fractional)
Pm  0.000  0.000  0.000
Zn  0.500  0.500  0.500
Ga  0.238  0.238  0.238
Ga  0.762  0.762  0.762
Ni  0.132  0.132  0.132
Ni  0.406  0.406  0.406
Ni  0.594  0.594  0.594
Ni  0.868  0.868  0.868

=====

(7)
Here is a relaxed K3Tb3MnS8 crystal from the Alexandria database. Energies are from PBE.

The calculated total energy comes out at -5.508 eV per atom. The calculation puts the magnetic moment at 3.0 Bohr magnetons per cell. The calculation puts the formation energy without anion corrections at -1550 meV/atom. The calculation puts the volume at 402 Å³/cell.

Cell: 8.768 8.768 8.768 Å, 53.30 53.30 53.30°
Element x y z (fractional)
K  0.000  0.500  0.500
K  0.500  0.000  0.500
K  0.500  0.500  0.000
Tb  0.000  0.000  0.500
Tb  0.000  0.500  0.000
Tb  0.500  0.000  0.000
Mn  0.500  0.500  0.500
S  0.235  0.235  0.235
S  0.264  0.710  0.710
S  0.290  0.290  0.736
S  0.290  0.736  0.290
S  0.710  0.264  0.710
S  0.710  0.710  0.264
S  0.736  0.290  0.290
S  0.765  0.765  0.765

=====

(8)
Here is a relaxed La6OsRh2Br3 crystal from the Alexandria database. Energies are from PBE.

The density of states at the Fermi level is 5.87 states/eV per cell. The calculated total energy comes out at -6.126 eV per atom. The calculation puts the magnetic moment at 0.0 Bohr magnetons per cell. The calculation puts the formation energy without anion corrections at -1083 meV/atom. The calculation puts the volume at 361 Å³/cell.

Cell: 10.177 10.177 9.299 Å, 110.95 110.95 23.73°
Element x y z (fractional)
La  0.010  0.010  0.217
La  0.322  0.322  0.446
La  0.348  0.348  0.892
La  0.652  0.652  0.108
La  0.678  0.678  0.554
La  0.990  0.990  0.783
Os  0.500  0.500  0.000
Rh  0.168  0.168  0.337
Rh  0.832  0.832  0.663
Br  0.167  0.167  0.833
Br  0.500  0.500  0.500
Br  0.833  0.833  0.167

=====

(9)
Here is a relaxed Dy2PdAu2 crystal from the Alexandria database. Energies are from PBE.

The density of states at the Fermi level is 6.38 states/eV per cell. The calculated total energy comes out at -4.947 eV per atom. The calculation puts the magnetic moment at 0.0 Bohr magnetons per cell. Its formation energy is -0.757 eV/atom. The calculation puts the volume at 241 Å³/cell.

Cell: 7.770 7.770 7.770 Å, 132.23 67.57 135.20°
Element x y z (fractional)
Dy  0.148  0.236  0.383
Dy  0.352  0.736  0.088
Dy  0.648  0.264  0.912
Dy  0.852  0.764  0.617
Pd  0.250  0.750  0.500
Pd  0.750  0.250  0.500
Au  0.126  0.774  0.900
Au  0.374  0.274  0.649
Au  0.626  0.726  0.351
Au  0.874  0.226  0.100

=====

(10)
Here is a relaxed CaTaSi2 crystal from the Alexandria database. Energies are from PBE.

The density of states at the Fermi level is 3.94 states/eV per cell. The calculated total energy comes out at -6.126 eV per atom. The calculation puts the magnetic moment at 0.0 Bohr magnetons per cell. The calculation puts the formation energy without anion corrections at 49 meV/atom. The calculation puts the volume at 143 Å³/cell. Its distance to the lowest polymorph of the same formula is 0.3000 eV/atom.

Cell: 6.282 7.924 2.901 Å, 90.00 99.19 90.00°
Element x y z (fractional)
Ca  0.000  0.000  0.000
Ca  0.500  0.500  0.000
Ta  0.000  0.500  0.000
Ta  0.500  0.000  0.000
Si  0.250  0.250  0.500
Si  0.250  0.750  0.500
Si  0.750  0.250  0.500
Si  0.750  0.750  0.500

=====

(11)
Here is a relaxed AlZn2Si2 crystal from the Alexandria database. Energies are from PBE.

The density of states at the Fermi level is 2.65 states/eV per cell. The calculated total energy comes out at -3.168 eV per atom. The calculation puts the magnetic moment at 0.0 Bohr magnetons per cell. The calculation puts the formation energy without anion corrections at 259 meV/atom. The calculation puts the volume at 167 Å³/cell.

Cell: 6.510 6.510 3.952 Å, 90.00 90.00 90.00°
Element x y z (fractional)
Al  0.000  0.000  0.000
Al  0.500  0.500  0.000
Zn  0.186  0.314  0.500
Zn  0.314  0.814  0.500
Zn  0.686  0.186  0.500
Zn  0.814  0.686  0.500
Si  0.128  0.628  0.000
Si  0.372  0.128  0.000
Si  0.628  0.872  0.000
Si  0.872  0.372  0.000

=====

(12)
Here is a relaxed NiP3Rh crystal from the Alexandria database. Energies are from PBE.

The density of states at the Fermi level is 2.18 states/eV per cell. The calculated total energy comes out at -5.226 eV per atom. The calculation puts the magnetic moment at 0.0 Bohr magnetons per cell. Its formation energy is 0.647 eV/atom. The calculation puts the volume at 80 Å³/cell. Its distance to the lowest polymorph of the same formula is 0.0000 eV/atom.

Cell: 4.308 4.308 4.308 Å, 90.00 90.00 90.00°
Element x y z (fractional)
Ni  0.000  0.000  0.000
P  0.000  0.000  0.500
P  0.000  0.500  0.000
P  0.500  0.000  0.000
Rh  0.500  0.500  0.500

=====

(13)
Here is a relaxed DyHoZnCu crystal from the Alexandria database. Energies are from PBE.

The density of states at the Fermi level is 2.67 states/eV per cell. The calculated total energy comes out at -3.937 eV per atom. The calculation puts the magnetic moment at 0.0 Bohr magnetons per cell. Its formation energy is -0.300 eV/atom. The calculation puts the volume at 86 Å³/cell. Its distance to the lowest polymorph of the same formula is 0.0000 eV/atom.

Cell: 3.503 3.503 7.046 Å, 90.00 90.00 90.00°
Element x y z (fractional)
Dy  0.000  0.000  0.000
Ho  0.000  0.000  0.514
Zn  0.500  0.500  0.259
Cu  0.500  0.500  0.754

=====

(14)
Here is a relaxed MgIn2FeGe crystal from the Alexandria database. Energies are from PBE.

The density of states at the Fermi level is 3.52 states/eV per cell. The calculated total energy comes out at -3.576 eV per atom. The calculation puts the magnetic moment at 1.8 Bohr magnetons per cell. Its formation energy is 0.455 eV/atom. The calculation puts the volume at 120 Å³/cell.

Cell: 4.959 4.959 4.895 Å, 90.00 90.00 90.00°
Element x y z (fractional)
Mg  0.000  0.000  0.000
In  0.000  0.500  0.500
In  0.500  0.000  0.500
Fe  0.000  0.000  0.500
Ge  0.500  0.500  0.000

=====

(15)
Here is a relaxed NaC crystal from the Alexandria database. Energies are from PBE.

The density of states at the Fermi level is 0.00 states/eV per cell. The calculated total energy comes out at -5.041 eV per atom. The calculation puts the magnetic moment at 0.0 Bohr magnetons per cell. Its formation energy is 0.231 eV/atom. The calculation puts the volume at 291 Å³/cell. Its distance to the lowest polymorph of the same formula is 0.0000 eV/atom.

Cell: 7.934 7.934 7.934 Å, 129.40 129.40 74.37°
Element x y z (fractional)
Na  0.061  0.250  0.311
Na  0.250  0.439  0.189
Na  0.250  0.939  0.689
Na  0.439  0.750  0.189
Na  0.561  0.250  0.811
Na  0.750  0.061  0.311
Na  0.750  0.561  0.811
Na  0.939  0.750  0.689
C  0.059  0.441  0.750
C  0.191  0.309  0.750
C  0.309  0.059  0.118
C  0.441  0.191  0.382
C  0.559  0.809  0.618
C  0.691  0.941  0.882
C  0.809  0.691  0.250
C  0.941  0.559  0.250

=====

(16)
Here is a relaxed Fe2CuTcAu crystal from the Alexandria database. Energies are from PBE.

The density of states at the Fermi level is 7.84 states/eV per cell. The calculated total energy comes out at -5.571 eV per atom. The calculation puts the magnetic moment at 3.7 Bohr magnetons per cell. Its formation energy is 1.362 eV/atom. The calculation puts the volume at 90 Å³/cell.

Cell: 4.386 4.386 4.685 Å, 90.00 90.00 90.00°
Element x y z (fractional)
Fe  0.000  0.500  0.000
Fe  0.500  0.000  0.000
Cu  0.000  0.000  0.500
Tc  0.000  0.000  0.000
Au  0.500  0.500  0.500

=====

(17)
Here is a relaxed CrCo2 crystal from the Alexandria database. Energies are from PBE.

The density of states at the Fermi level is 18.24 states/eV per cell. The calculated total energy comes out at -7.696 eV per atom. The calculation puts the magnetic moment at 3.8 Bohr magnetons per cell. Its formation energy is 0.249 eV/atom. The calculation puts the volume at 134 Å³/cell.

Cell: 2.462 2.462 22.138 Å, 90.00 90.00 90.00°
Element x y z (fractional)
Cr  0.000  0.250  0.375
Cr  0.000  0.750  0.625
Cr  0.500  0.250  0.125
Cr  0.500  0.750  0.875
Co  0.000  0.250  0.796
Co  0.000  0.250  0.954
Co  0.000  0.750  0.046
Co  0.000  0.750  0.204
Co  0.500  0.250  0.546
Co  0.500  0.250  0.704
Co  0.500  0.750  0.296
Co  0.500  0.750  0.454

=====

(18)
Here is a relaxed CsReTe3 crystal from the Alexandria database. Energies are from PBE.

The density of states at the Fermi level is 4.17 states/eV per cell. The calculated total energy comes out at -4.792 eV per atom. The calculation puts the magnetic moment at 0.0 Bohr magnetons per cell. The calculation puts the formation energy without anion corrections at -247 meV/atom. The calculation puts the volume at 334 Å³/cell.

Cell: 9.177 4.185 9.249 Å, 90.00 109.74 90.00°
Element x y z (fractional)
Cs  0.236  0.250  0.415
Cs  0.764  0.750  0.585
Re  0.362  0.250  0.953
Re  0.638  0.750  0.047
Te  0.053  0.250  0.910
Te  0.230  0.750  0.754
Te  0.415  0.750  0.160
Te  0.585  0.250  0.840
Te  0.770  0.250  0.246
Te  0.947  0.750  0.090

=====

(19)
Here is a relaxed IrPb2W crystal from the Alexandria database. Energies are from PBE.

The density of states at the Fermi level is 13.75 states/eV per cell. The calculated total energy comes out at -6.331 eV per atom. The calculation puts the magnetic moment at 0.0 Bohr magnetons per cell. Its formation energy is 0.976 eV/atom. The calculation puts the volume at 315 Å³/cell. Its distance to the lowest polymorph of the same formula is 0.6913 eV/atom.

Cell: 6.801 6.801 6.801 Å, 90.00 90.00 90.00°
Element x y z (fractional)
Ir  0.000  0.000  0.000
Ir  0.000  0.500  0.500
Ir  0.500  0.000  0.500
Ir  0.500  0.500  0.000
Pb  0.250  0.250  0.250
Pb  0.250  0.250  0.750
Pb  0.250  0.750  0.250
Pb  0.250  0.750  0.750
Pb  0.750  0.250  0.250
Pb  0.750  0.250  0.750
Pb  0.750  0.750  0.250
Pb  0.750  0.750  0.750
W  0.000  0.000  0.500
W  0.000  0.500  0.000
W  0.500  0.000  0.000
W  0.500  0.500  0.500

=====

(20)
Here is a relaxed CaTaAg3 crystal from the Alexandria database. Energies are from PBE.

The density of states at the Fermi level is 4.02 states/eV per cell. The calculated total energy comes out at -3.645 eV per atom. The calculation puts the magnetic moment at 0.0 Bohr magnetons per cell. Its formation energy is 0.837 eV/atom. The calculation puts the volume at 138 Å³/cell. Its distance to the lowest polymorph of the same formula is 0.0000 eV/atom.

Cell: 5.173 5.173 5.173 Å, 90.00 90.00 90.00°
Element x y z (fractional)
Ca  0.000  0.000  0.000
Ta  0.500  0.500  0.500
Ag  0.000  0.500  0.500
Ag  0.500  0.000  0.500
Ag  0.500  0.500  0.000